The following is a PBE-GGA calculation of crystalline LiY2Au2O3 at its relaxed geometry, from OQMD.

```
LiY2Au2O3
1.0
3.407 0.000 0.000
-1.704 2.951 0.000
0.000 0.000 13.496
Li Y Au O
1 2 2 3
Cartesian
0.000 0.000 0.000
0.000 1.967 5.710
0.000 1.967 11.093
0.000 0.000 2.441
1.704 0.984 8.987
0.000 0.000 4.663
1.704 0.984 6.843
1.704 0.984 12.361
```

Computed properties:
Uncorrected energy   -50.358 eV for the cell shown
Magnetization   0.001 μB/atom
SG   P3m1 (156)

The following is a PBE-GGA calculation of crystalline LiYAuO at its relaxed geometry, from OQMD.

```
LiYAuO
1.0
3.323 0.000 0.000
-1.661 2.878 0.000
0.000 0.000 17.247
Li Y Au O
2 2 2 2
Cartesian
0.000 1.919 2.782
1.661 0.959 14.465
0.000 0.000 0.000
0.000 0.000 8.623
0.000 1.919 5.252
1.661 0.959 11.995
0.000 1.919 7.471
1.661 0.959 9.776
```

Computed properties:
Magnetization   0.002 μB/atom
SG   P-3m1 (164)
Excess energy over the best structure of this formula in the dataset   2.08 eV/f.u.

The following is a PBE-GGA calculation of crystalline LiZrAuO3 at its relaxed geometry, from OQMD.

```
LiZrAuO3
1.0
11.091 0.000 0.000
0.000 3.195 0.000
0.000 0.000 8.826
Li Zr Au O
4 4 4 12
Cartesian
2.416 0.799 1.340
3.129 2.397 5.753
7.962 0.799 3.073
8.675 2.397 7.485
0.497 0.799 7.385
5.048 2.397 2.972
6.043 0.799 5.854
10.594 2.397 1.441
1.286 0.799 4.183
4.260 2.397 8.596
6.831 0.799 0.230
9.805 2.397 4.643
0.679 0.799 2.219
1.119 2.397 8.615
2.047 0.799 6.097
3.499 2.397 1.684
4.426 0.799 4.202
4.866 2.397 6.632
6.225 0.799 2.193
6.665 2.397 4.624
7.592 0.799 7.141
9.044 2.397 2.728
9.972 0.799 0.211
10.412 2.397 6.606
```

Computed properties:
Uncorrected energy   -164.984 eV for the cell shown
Magnetization   0.000 μB/atom
SG   Pnma (62)

The following is a PBE-GGA calculation of crystalline Li2OsAu at its relaxed geometry, from OQMD.

```
Li2OsAu
1.0
0.000 3.096 3.096
3.096 0.000 3.096
3.096 3.096 0.000
Li Os Au
2 1 1
Cartesian
0.000 0.000 0.000
1.548 1.548 1.548
3.096 3.096 3.096
4.645 4.645 4.645
```

Computed properties:
Uncorrected energy   -16.931 eV for the cell shown
Magnetization   0.518 μB/atom
SG   F-43m (216)

The following is a PBE-GGA calculation of crystalline LiOsAu2 at its relaxed geometry, from OQMD.

```
LiOsAu2
1.0
0.000 3.169 3.169
3.169 0.000 3.169
3.169 3.169 0.000
Li Os Au
1 1 2
Cartesian
0.000 0.000 0.000
1.584 1.584 1.584
3.169 3.169 3.169
4.753 4.753 4.753
```

Computed properties:
Uncorrected energy   -17.685 eV for the cell shown
Magnetization   0.502 μB/atom
SG   F-43m (216)

The following is a PBE-GGA calculation of crystalline LiTe2OsAuS at its relaxed geometry, from OQMD.

```
LiTe2OsAuS
1.0
2.066 -7.805 0.000
2.066 7.805 0.000
0.000 0.000 9.027
Li Te Os Au S
2 4 2 2 2
Cartesian
2.066 4.065 6.771
2.066 -4.065 2.257
2.066 5.967 4.784
2.066 5.967 8.757
2.066 -5.967 0.270
2.066 -5.967 4.243
2.066 0.000 0.000
2.066 0.000 4.514
2.066 5.337 2.257
2.066 -5.337 6.771
2.066 0.129 6.771
2.066 -0.129 2.257
```

Computed properties:
Uncorrected energy   -54.758 eV for the cell shown
Magnetization   0.001 μB/atom
SG   Cmcm (63)